P:
# PBE CrRePt2, relaxed
data_CrRePt2
_space_group_name_H-M_alt 'I -4 2 d'
_space_group_IT_number 122
_space_group_name_Hall 'I -4 2bw'
_cell_length_a 3.7132
_cell_length_b 3.7132
_cell_length_c 18.1788
_cell_angle_alpha 90.00
_cell_angle_beta 90.00
_cell_angle_gamma 90.00
loop_
_atom_site_label
_atom_site_type_symbol
_atom_site_fract_x
_atom_site_fract_y
_atom_site_fract_z
Cr1 Cr 0.0000 0.0000 0.0000
Re1 Re 0.0000 0.0000 0.5000
Pt1 Pt 0.2460 0.2500 0.1250
# M_tot = 0.000 μB/atom
# Volume = 15.7 Å³/atom

Q:
# PBE CrRePt2, relaxed
data_CrRePt2
_space_group_name_H-M_alt 'C m m m'
_space_group_IT_number 65
_space_group_name_Hall '-C 2 2'
_cell_length_a 5.4213
_cell_length_b 7.9400
_cell_length_c 2.7304
_cell_angle_alpha 90.00
_cell_angle_beta 90.00
_cell_angle_gamma 90.00
loop_
_atom_site_label
_atom_site_type_symbol
_atom_site_fract_x
_atom_site_fract_y
_atom_site_fract_z
Cr1 Cr 0.0000 0.0000 0.0000
Re1 Re 0.0000 0.5000 0.0000
Pt1 Pt 0.2500 0.2500 0.5000
# M_tot = 0.554 μB/atom
# Volume = 14.7 Å³/atom

R:
# PBE CrRePt2, relaxed
data_CrRePt2
_space_group_name_H-M_alt 'P 4 m m'
_space_group_IT_number 99
_cell_length_a 2.7171
_cell_length_b 2.7171
_cell_length_c 7.8459
_cell_angle_alpha 90.00
_cell_angle_beta 90.00
_cell_angle_gamma 90.00
loop_
_space_group_symop_operation_xyz
'x,y,z'
'-y,x,z'
'-x,-y,z'
'y,-x,z'
'-x,y,z'
'y,x,z'
'x,-y,z'
'-y,-x,z'
loop_
_atom_site_label
_atom_site_type_symbol
_atom_site_fract_x
_atom_site_fract_y
_atom_site_fract_z
Cr1 Cr 0.0000 0.0000 0.0000
Re1 Re 0.5000 0.5000 0.7662
Pt1 Pt 0.0000 0.0000 0.5121
Pt2 Pt 0.5000 0.5000 0.2319
# M_tot = 0.104 μB/atom
# Volume = 14.5 Å³/atom

Least stable = P

P:
# PBE CrRePt2, relaxed
data_CrRePt2
_space_group_name_H-M_alt 'F -4 3 m'
_space_group_IT_number 216
_space_group_name_Hall 'F -4 2 3'
_cell_length_a 6.1947
_cell_length_b 6.1947
_cell_length_c 6.1947
_cell_angle_alpha 90.00
_cell_angle_beta 90.00
_cell_angle_gamma 90.00
loop_
_atom_site_label
_atom_site_type_symbol
_atom_site_fract_x
_atom_site_fract_y
_atom_site_fract_z
Cr1 Cr 0.0000 0.0000 0.0000
Re1 Re 0.2500 0.2500 0.7500
Pt1 Pt 0.0000 0.0000 0.5000
Pt2 Pt 0.2500 0.2500 0.2500
# M_tot = 0.308 μB/atom
# Volume = 14.9 Å³/atom

Q:
# PBE CrRePt2, relaxed
data_CrRePt2
_space_group_name_H-M_alt 'P m m 2'
_space_group_IT_number 25
_cell_length_a 2.6880
_cell_length_b 3.8822
_cell_length_c 5.5608
_cell_angle_alpha 90.00
_cell_angle_beta 90.00
_cell_angle_gamma 90.00
loop_
_space_group_symop_operation_xyz
'x,y,z'
'-x,-y,z'
'-x,y,z'
'x,-y,z'
loop_
_atom_site_label
_atom_site_type_symbol
_atom_site_fract_x
_atom_site_fract_y
_atom_site_fract_z
Cr1 Cr 0.0000 0.0000 0.0000
Re1 Re 0.5000 0.5000 0.7614
Pt1 Pt 0.0000 0.0000 0.5135
Pt2 Pt 0.5000 0.5000 0.2384
# M_tot = 0.142 μB/atom
# Volume = 14.5 Å³/atom

Least stable = P

P:
# PBE CrRePt3, relaxed
data_CrRePt3
_space_group_name_H-M_alt 'P m -3 m'
_space_group_IT_number 221
_space_group_name_Hall '-P 4 2 3'
_cell_length_a 4.5347
_cell_length_b 4.5347
_cell_length_c 4.5347
_cell_angle_alpha 90.00
_cell_angle_beta 90.00
_cell_angle_gamma 90.00
loop_
_atom_site_label
_atom_site_type_symbol
_atom_site_fract_x
_atom_site_fract_y
_atom_site_fract_z
Cr1 Cr 0.0000 0.0000 0.0000
Re1 Re 0.5000 0.5000 0.5000
Pt1 Pt 0.0000 0.0000 0.5000
# M_tot = 0.626 μB/atom
# Volume = 18.6 Å³/atom

Q:
# PBE CrRePt3, relaxed
data_CrRePt3
_space_group_name_H-M_alt 'P m -3 m'
_space_group_IT_number 221
_space_group_name_Hall '-P 4 2 3'
_cell_length_a 4.7957
_cell_length_b 4.7957
_cell_length_c 4.7957
_cell_angle_alpha 90.00
_cell_angle_beta 90.00
_cell_angle_gamma 90.00
loop_
_atom_site_label
_atom_site_type_symbol
_atom_site_fract_x
_atom_site_fract_y
_atom_site_fract_z
Cr1 Cr 0.0000 0.0000 0.0000
Re1 Re 0.5000 0.5000 0.5000
Pt1 Pt 0.0000 0.5000 0.5000
# M_tot = 0.136 μB/atom
# Volume = 22.1 Å³/atom

Least stable = Q

P:
# PBE Cr2Pt2Rh, relaxed
data_Cr2Pt2Rh
_space_group_name_H-M_alt 'P 4/m b m'
_space_group_IT_number 127
_space_group_name_Hall '-P 4 2ab'
_cell_length_a 7.2478
_cell_length_b 7.2478
_cell_length_c 2.7211
_cell_angle_alpha 90.00
_cell_angle_beta 90.00
_cell_angle_gamma 90.00
loop_
_atom_site_label
_atom_site_type_symbol
_atom_site_fract_x
_atom_site_fract_y
_atom_site_fract_z
Cr1 Cr 0.1139 0.3861 0.0000
Pt1 Pt 0.1769 0.6769 0.5000
Rh1 Rh 0.0000 0.0000 0.0000
# M_tot = 0.085 μB/atom
# Volume = 14.3 Å³/atom

Q:
# PBE Cr2Pt2Rh, relaxed
data_Cr2Pt2Rh
_space_group_name_H-M_alt 'P 4/m b m'
_space_group_IT_number 127
_space_group_name_Hall '-P 4 2ab'
_cell_length_a 7.3226
_cell_length_b 7.3226
_cell_length_c 2.6795
_cell_angle_alpha 90.00
_cell_angle_beta 90.00
_cell_angle_gamma 90.00
loop_
_atom_site_label
_atom_site_type_symbol
_atom_site_fract_x
_atom_site_fract_y
_atom_site_fract_z
Cr1 Cr 0.1692 0.3308 0.0000
Pt1 Pt 0.1298 0.6298 0.5000
Rh1 Rh 0.0000 0.0000 0.5000
# M_tot = 0.000 μB/atom
# Volume = 14.4 Å³/atom

Least stable = P